[1]
# AgTe2Pb (PBE, optimized geometry)
data_AgTe2Pb
_cell_length_a 4.9673
_cell_length_b 3.6073
_cell_length_c 13.4958
_cell_angle_alpha 90.00
_cell_angle_beta 90.00
_cell_angle_gamma 90.00
_symmetry_space_group_name_H-M 'A m m 2'
_symmetry_Int_Tables_number 38
_symmetry_space_group_name_Hall 'A 2 -2'
loop_
_atom_site_label
_atom_site_type_symbol
_atom_site_fract_x
_atom_site_fract_y
_atom_site_fract_z
_atom_site_occupancy
Ag1 Ag 0.0000 0.0000 0.0000 1
Te1 Te 0.0000 0.0000 0.2120 1
Te2 Te 0.5000 0.0000 0.9040 1
Pb1 Pb 0.5000 0.0000 0.6261 1
# DOS(E_F) (states/eV/atom): 0.182

***

[2]
# Ag5Te6Pb (PBE, optimized geometry)
data_Ag5Te6Pb
_cell_length_a 7.6631
_cell_length_b 12.6199
_cell_length_c 7.3420
_cell_angle_alpha 90.00
_cell_angle_beta 111.96
_cell_angle_gamma 90.00
_symmetry_space_group_name_H-M 'C 1 2/m 1'
_symmetry_Int_Tables_number 12
_symmetry_space_group_name_Hall '-C 2y'
loop_
_atom_site_label
_atom_site_type_symbol
_atom_site_fract_x
_atom_site_fract_y
_atom_site_fract_z
_atom_site_occupancy
Ag1 Ag 0.0000 0.0000 0.0000 1
Ag2 Ag 0.0000 0.1700 0.5000 1
Ag3 Ag 0.0000 0.3376 0.0000 1
Te1 Te 0.1969 0.1722 0.2517 1
Te2 Te 0.2346 0.5000 0.2198 1
Pb1 Pb 0.0000 0.5000 0.5000 1
# DOS(E_F) (states/eV/atom): 0.470

***

[3]
Entry from Alexandria via LeMat-Bulk: a relaxed Ag12Te7Pb crystal (PBE).

Cell and atoms, written as CIF:
```
data_Ag12Te7Pb
_cell_length_a 12.8943
_cell_length_b 12.8943
_cell_length_c 11.2440
_cell_angle_alpha 90.00
_cell_angle_beta 90.00
_cell_angle_gamma 120.00
_symmetry_space_group_name_H-M 'R -3'
_symmetry_Int_Tables_number 148
_symmetry_space_group_name_Hall '-R 3'
loop_
_atom_site_label
_atom_site_type_symbol
_atom_site_fract_x
_atom_site_fract_y
_atom_site_fract_z
_atom_site_occupancy
Ag1 Ag 0.0232 0.7686 0.2143 1
Ag2 Ag 0.0794 0.8414 0.5753 1
Te1 Te 0.0000 0.0000 0.5000 1
Te2 Te 0.0008 0.8002 0.8183 1
Pb1 Pb 0.0000 0.0000 0.0000 1
```

***

[4]
# Ag3Te3Pb (PBE, optimized geometry)
data_Ag3Te3Pb
_cell_length_a 7.8400
_cell_length_b 7.8400
_cell_length_c 23.1871
_cell_angle_alpha 90.00
_cell_angle_beta 90.00
_cell_angle_gamma 120.00
_symmetry_space_group_name_H-M 'R -3'
_symmetry_Int_Tables_number 148
_symmetry_space_group_name_Hall '-R 3'
loop_
_atom_site_label
_atom_site_type_symbol
_atom_site_fract_x
_atom_site_fract_y
_atom_site_fract_z
_atom_site_occupancy
Ag1 Ag 0.0035 0.6476 0.1307 1
Te1 Te 0.0036 0.6834 0.9209 1
Pb1 Pb 0.0000 0.0000 0.3355 1
# DOS(E_F) (states/eV/atom): 0.613

***

[5]
# AgTe2Pb2 (PBE, optimized geometry)
data_AgTe2Pb2
_cell_length_a 8.3059
_cell_length_b 8.3059
_cell_length_c 4.5262
_cell_angle_alpha 90.00
_cell_angle_beta 90.00
_cell_angle_gamma 90.00
_symmetry_space_group_name_H-M 'P 4/m b m'
_symmetry_Int_Tables_number 127
_symmetry_space_group_name_Hall '-P 4 2ab'
loop_
_atom_site_label
_atom_site_type_symbol
_atom_site_fract_x
_atom_site_fract_y
_atom_site_fract_z
_atom_site_occupancy
Ag1 Ag 0.0000 0.0000 0.0000 1
Te1 Te 0.1685 0.3315 0.0000 1
Pb1 Pb 0.1485 0.6485 0.5000 1
# Polymorph energy (0 for the lowest one) (kJ/mol of formula units): 0
# DOS(E_F) (states/eV/atom): 0.561

***

[6]
# AgTePb2 (PBE, optimized geometry)
data_AgTePb2
_cell_length_a 11.6068
_cell_length_b 3.9666
_cell_length_c 5.4653
_cell_angle_alpha 90.00
_cell_angle_beta 116.81
_cell_angle_gamma 90.00
_symmetry_space_group_name_H-M 'C 1 m 1'
_symmetry_Int_Tables_number 8
_symmetry_space_group_name_Hall 'C -2y'
loop_
_atom_site_label
_atom_site_type_symbol
_atom_site_fract_x
_atom_site_fract_y
_atom_site_fract_z
_atom_site_occupancy
Ag1 Ag 0.0000 0.0000 0.0000 1
Te1 Te 0.2119 0.5000 0.2383 1
Pb1 Pb 0.2656 0.0000 0.7905 1
Pb2 Pb 0.4822 0.0000 0.4935 1
# DOS(E_F) (states/eV/atom): 0.383

***

[7]
# AgTe2Pb (PBE, optimized geometry)
data_AgTe2Pb
_cell_length_a 4.3444
_cell_length_b 4.3444
_cell_length_c 7.3044
_cell_angle_alpha 90.00
_cell_angle_beta 90.00
_cell_angle_gamma 120.00
_symmetry_space_group_name_H-M 'P -3 m 1'
_symmetry_Int_Tables_number 164
_symmetry_space_group_name_Hall '-P 3 2"'
loop_
_atom_site_label
_atom_site_type_symbol
_atom_site_fract_x
_atom_site_fract_y
_atom_site_fract_z
_atom_site_occupancy
Ag1 Ag 0.0000 0.0000 0.0000 1
Te1 Te 0.3333 0.6667 0.7807 1
Pb1 Pb 0.0000 0.0000 0.5000 1
# DOS(E_F) (states/eV/atom): 0.461

***

[8]
# AgTe2Pb (PBE, optimized geometry)
data_AgTe2Pb
_cell_length_a 3.7019
_cell_length_b 5.2488
_cell_length_c 5.6666
_cell_angle_alpha 90.00
_cell_angle_beta 90.00
_cell_angle_gamma 90.00
_symmetry_space_group_name_H-M 'P m m m'
_symmetry_Int_Tables_number 47
_symmetry_space_group_name_Hall '-P 2 2'
loop_
_atom_site_label
_atom_site_type_symbol
_atom_site_fract_x
_atom_site_fract_y
_atom_site_fract_z
_atom_site_occupancy
Ag1 Ag 0.0000 0.0000 0.0000 1
Te1 Te 0.0000 0.5000 0.5000 1
Te2 Te 0.5000 0.0000 0.5000 1
Pb1 Pb 0.5000 0.5000 0.0000 1
# DOS(E_F) (states/eV/atom): 0.473

***

[9]
# AgTePb2 (PBE, optimized geometry)
data_AgTePb2
_cell_length_a 3.9776
_cell_length_b 3.9776
_cell_length_c 7.1060
_cell_angle_alpha 90.00
_cell_angle_beta 90.00
_cell_angle_gamma 90.00
_symmetry_space_group_name_H-M 'P 4/m m m'
_symmetry_Int_Tables_number 123
_symmetry_space_group_name_Hall '-P 4 2'
loop_
_atom_site_label
_atom_site_type_symbol
_atom_site_fract_x
_atom_site_fract_y
_atom_site_fract_z
_atom_site_occupancy
Ag1 Ag 0.0000 0.0000 0.0000 1
Te1 Te 0.0000 0.0000 0.5000 1
Pb1 Pb 0.5000 0.5000 0.2356 1
# DOS(E_F) (states/eV/atom): 0.354

***

[10]
# AgTePb2 (PBE, optimized geometry)
data_AgTePb2
_cell_length_a 3.2483
_cell_length_b 4.1801
_cell_length_c 8.5649
_cell_angle_alpha 90.00
_cell_angle_beta 90.10
_cell_angle_gamma 90.00
_symmetry_space_group_name_H-M 'P 1 2/m 1'
_symmetry_Int_Tables_number 10
_symmetry_space_group_name_Hall '-P 2y'
loop_
_atom_site_label
_atom_site_type_symbol
_atom_site_fract_x
_atom_site_fract_y
_atom_site_fract_z
_atom_site_occupancy
Ag1 Ag 0.0000 0.0000 0.0000 1
Te1 Te 0.5000 0.0000 0.5000 1
Pb1 Pb 0.4965 0.5000 0.7882 1
# DOS(E_F) (states/eV/atom): 0.382

***

[11]
# AgTePb2 (PBE, optimized geometry)
data_AgTePb2
_cell_length_a 4.4671
_cell_length_b 4.4671
_cell_length_c 6.2742
_cell_angle_alpha 90.00
_cell_angle_beta 90.00
_cell_angle_gamma 90.00
_symmetry_space_group_name_H-M 'P 4 m m'
_symmetry_Int_Tables_number 99
_symmetry_space_group_name_Hall 'P 4 -2'
loop_
_atom_site_label
_atom_site_type_symbol
_atom_site_fract_x
_atom_site_fract_y
_atom_site_fract_z
_atom_site_occupancy
Ag1 Ag 0.0000 0.0000 0.0000 1
Te1 Te 0.5000 0.5000 0.5025 1
Pb1 Pb 0.0000 0.0000 0.4991 1
Pb2 Pb 0.5000 0.5000 0.0025 1
# DOS(E_F) (states/eV/atom): 0.309

***

[12]
# AgTe2Pb (PBE, optimized geometry)
data_AgTe2Pb
_cell_length_a 4.2774
_cell_length_b 4.2774
_cell_length_c 22.5255
_cell_angle_alpha 90.00
_cell_angle_beta 90.00
_cell_angle_gamma 120.00
_symmetry_space_group_name_H-M 'R 3 m'
_symmetry_Int_Tables_number 160
_symmetry_space_group_name_Hall 'R 3 -2"'
loop_
_atom_site_label
_atom_site_type_symbol
_atom_site_fract_x
_atom_site_fract_y
_atom_site_fract_z
_atom_site_occupancy
Ag1 Ag 0.0000 0.0000 0.0000 1
Te1 Te 0.0000 0.0000 0.4034 1
Te2 Te 0.0000 0.0000 0.5930 1
Pb1 Pb 0.0000 0.0000 0.8329 1
# DOS(E_F) (states/eV/atom): 0.606

***

| no. | uncorrected formation energy (eV per atom) | magnetic moment (μB/atom) | E (eV/atom) |
| --- | --- | --- | --- |
| 1 | -0.04 | 0.00 | -3.252 |
| 2 | -0.04 | 0.00 | -3.109 |
| 3 | -0.03 | 0.00 | -3.023 |
| 4 | -0.12 | 0.00 | -3.213 |
| 5 | -0.04 | 0.00 | -3.353 |
| 6 | 0.02 | 0.00 | -3.333 |
| 7 | -0.15 | 0.00 | -3.362 |
| 8 | 0.17 | 0.00 | -3.038 |
| 9 | 0.02 | 0.00 | -3.331 |
| 10 | 0.00 | 0.00 | -3.349 |
| 11 | -0.03 | 0.00 | -3.379 |
| 12 | -0.11 | 0.00 | -3.325 |